Below is a relaxed CrPPtO2 crystal, with properties calculated at the PBE with a Hubbard U level.

The space group is P4/mmm (No. 123) and the conventional cell measures 3.544, 3.544 and 6.306 Å, with angles of 90.00, 90.00 and 90.00 degrees. The inequivalent atoms are Cr at (0.000, 0.000, 0.000), P at (0.000, 0.000, 0.500), Pt at (0.500, 0.500, 0.500) and O at (0.000, 0.500, 0.000).

The value obtained for the density of states at the Fermi level is 0.85 states/eV/atom. The calculation puts the energy at -6.148 eV/atom.